A plane-wave DFT calculation with PBE was carried out for a relaxed Th2InPdRh5 crystal.

a b c (Å): 8.349 8.349 10.622
angles (deg): 90.00 90.00 90.00
Space group I4/mcm (No. 140)
Asymmetric unit:
Th 0.140 0.360 0.000 [8 per cell]
In 0.000 0.000 0.250 [4 per cell]
Pd 0.000 0.500 0.250 [4 per cell]
Rh 0.000 0.000 0.000 [4 per cell]
Rh 0.192 0.308 0.362 [16 per cell]

Results
Magnetic moment = 0.00 μB/f.u.
Uncorrected energy = -245.3 eV/cell

=====

A plane-wave DFT calculation with PBE was carried out for a relaxed TiInPdRh crystal.

a b c (Å): 4.161 4.161 7.474
angles (deg): 90.00 90.00 90.00
Space group I-4m2 (No. 119)
Asymmetric unit:
Ti 0.000 0.000 0.000 [2 per cell]
In 0.000 0.000 0.500 [2 per cell]
Pd 0.000 0.500 0.750 [2 per cell]
Rh 0.000 0.500 0.250 [2 per cell]

Results
Magnetic moment = 0.00 μB/f.u.
Uncorrected energy = -51.2 eV/cell